# La2Sm12Mg

La2Sm12Mg after structural relaxation (GGA-PBE, Alexandria via LeMat-Bulk).

Cell: 6.658 6.658 24.222 Å, 90.00 90.00 90.00°
Fractional coordinates of all 30 atoms:
Sm 0.500 0.500 0.203
Sm 0.000 0.000 0.669
Sm 0.000 0.000 0.203
Sm 0.745 0.245 0.901
Sm 0.245 0.255 0.901
Sm 0.333 0.833 0.436
Sm 0.255 0.245 0.099
Sm 0.500 0.500 0.669
Sm 0.755 0.745 0.901
Sm 0.755 0.255 0.099
Sm 0.667 0.167 0.436
Sm 0.167 0.333 0.436
Sm 0.255 0.755 0.901
Sm 0.333 0.167 0.564
Sm 0.500 0.500 0.797
Sm 0.745 0.755 0.099
Sm 0.833 0.667 0.436
Sm 0.245 0.745 0.099
Sm 0.000 0.000 0.797
Sm 0.667 0.833 0.564
Sm 0.167 0.667 0.564
Sm 0.000 0.000 0.331
Sm 0.500 0.500 0.331
Sm 0.833 0.333 0.564
La 0.000 0.500 0.753
La 0.000 0.500 0.247
La 0.500 0.000 0.753
La 0.500 0.000 0.247
Mg 0.500 0.000 0.000
Mg 0.000 0.500 0.000

Summary:
energy of formation	279.4	meV per atom

=====

# La4SmMg

La4SmMg after structural relaxation (GGA-PBE, Alexandria via LeMat-Bulk).

Cell: 3.766 3.766 14.557 Å, 90.00 90.00 90.00°
Fractional coordinates of all 6 atoms:
La 0.000 0.000 0.652
La 0.500 0.500 0.825
La 0.000 0.000 0.348
La 0.500 0.500 0.175
Mg 0.500 0.500 0.500
Sm 0.000 0.000 0.000

Summary:
polymorph energy (0 for the lowest one)	0.0	kJ per mole of atoms
energy of formation	-27.1	meV per atom

=====

# La2SmMg3

La2SmMg3 after structural relaxation (GGA-PBE, Alexandria via LeMat-Bulk).

Cell: 3.921 3.921 11.818 Å, 90.00 90.00 90.00°
Fractional coordinates of all 6 atoms:
Mg 0.000 0.000 0.657
Mg 0.000 0.000 0.000
Mg 0.000 0.000 0.343
Sm 0.500 0.500 0.500
La 0.500 0.500 0.829
La 0.500 0.500 0.171

Summary:
energy of formation	-108.6	meV per atom

=====

# LaSmMg

LaSmMg after structural relaxation (GGA-PBE, Alexandria via LeMat-Bulk).

Cell: 3.439 5.607 5.607 Å, 120.00 90.00 90.00°
Fractional coordinates of all 3 atoms:
Mg 0.317 0.333 0.667
La 0.632 0.667 0.333
Sm 0.052 0.000 0.000

Summary:
polymorph energy (0 for the lowest one)	6.9	kJ per mole of atoms
energy of formation	20.2	meV per atom

=====

# La7Sm2Mg2

La7Sm2Mg2 after structural relaxation (GGA-PBE, Alexandria via LeMat-Bulk).

Cell: 8.023 6.261 8.023 Å, 75.38 85.45 104.62°
Fractional coordinates of all 11 atoms:
La 0.586 0.797 0.414
La 0.930 0.170 0.575
La 0.414 0.203 0.586
La 0.070 0.830 0.425
La 0.575 0.830 0.930
La 0.425 0.170 0.070
La 0.000 0.000 0.000
Sm 0.797 0.412 0.203
Sm 0.203 0.588 0.797
Mg 0.771 0.500 0.771
Mg 0.229 0.500 0.229

Summary:
polymorph energy (0 for the lowest one)	0.0	kJ per mole of atoms
energy of formation	75.7	meV per atom

=====

# LaSmMg

LaSmMg after structural relaxation (GGA-PBE, Alexandria via LeMat-Bulk).

Cell: 3.840 3.840 7.061 Å, 105.78 105.78 90.00°
Last column: magnetic moment on the atom in μB.
Fractional coordinates of all 3 atoms:
Sm 0.013 0.013 0.027  0.07
La 0.325 0.325 0.649  0.06
Mg 0.662 0.662 0.324  0.00

Summary:
polymorph energy (0 for the lowest one)	0.2	kJ per mole of atoms
energy of formation	-49.1	meV per atom

=====

# LaSm5Mg

LaSm5Mg after structural relaxation (GGA-PBE, Alexandria via LeMat-Bulk).

Cell: 9.807 6.564 11.887 Å, 75.29 90.00 138.34°
Fractional coordinates of all 14 atoms:
Sm 0.779 0.222 0.461
Sm 0.973 0.590 0.849
Sm 0.221 0.778 0.539
Sm 0.557 0.778 0.039
Sm 0.617 0.590 0.349
Sm 0.383 0.410 0.651
Sm 0.142 0.000 0.250
Sm 0.858 0.000 0.750
Sm 0.027 0.410 0.151
Sm 0.443 0.222 0.961
Mg 0.000 0.000 0.000
Mg 0.000 0.000 0.500
La 0.502 0.000 0.750
La 0.498 0.000 0.250

Summary:
energy of formation	94.1	meV per atom

=====

# La2Sm7Mg2

La2Sm7Mg2 after structural relaxation (GGA-PBE, Alexandria via LeMat-Bulk).

Cell: 3.808 11.783 11.783 Å, 57.47 61.04 61.04°
Fractional coordinates of all 11 atoms:
Sm 0.504 0.396 0.935
Sm 0.504 0.935 0.396
Sm 0.000 0.000 0.000
Sm 0.944 0.685 0.685
Sm 0.496 0.604 0.065
Sm 0.496 0.065 0.604
Sm 0.056 0.315 0.315
Mg 0.026 0.158 0.158
Mg 0.974 0.842 0.842
La 0.500 0.689 0.311
La 0.500 0.311 0.689

Summary:
polymorph energy (0 for the lowest one)	0.0	kJ per mole of atoms
energy of formation	54.7	meV per atom

=====

| no. | spin magnetization (μB/cell) | calculated volume (Å³/cell) | VASP energy (eV/atom) |
| --- | --- | --- | --- |
| 1 | 0.000 | 1073.6 | -4.2592 |
| 2 | 0.000 | 206.5 | -4.3643 |
| 3 | 0.000 | 181.7 | -3.3349 |
| 4 | 0.000 | 93.6 | -3.7269 |
| 5 | 0.000 | 372.9 | -4.2079 |
| 6 | 0.242 | 96.1 | -3.7962 |
| 7 | 0.000 | 470.1 | -4.2084 |
| 8 | 0.000 | 371.6 | -4.1342 |